## Er5AlTl3 (PBE)

Data for crystalline Er5AlTl3 at its relaxed geometry.

Cell: 9.1567 9.1567 6.5877 Å, 90.00 90.00 120.00°
Space group P6_3/mcm (No. 193)
Symmetry-distinct sites (fractional):
Er 0.0000 0.2754 0.2500 (multiplicity 6)
Er 0.3333 0.6667 0.0000 (multiplicity 4)
Al 0.0000 0.0000 0.0000 (multiplicity 2)
Tl 0.0000 0.3789 0.7500 (multiplicity 6)

The calculation puts the calculated formation energy at -0.330 eV per atom.



## BeTc2Mo (PBE)

Data for crystalline BeTc2Mo at its relaxed geometry.

Cell: 3.0948 4.3045 8.2358 Å, 90.00 90.00 90.00°
Space group Immm (No. 71)
Symmetry-distinct sites (fractional):
Be 0.0000 0.0000 0.0000 (multiplicity 2)
Tc 0.0000 0.5000 0.2509 (multiplicity 4)
Mo 0.0000 0.0000 0.5000 (multiplicity 2)

The calculation puts the calculated formation energy at 0.056 eV per atom.



## ThAs2Ir (PBE)

Data for crystalline ThAs2Ir at its relaxed geometry.

Cell: 4.1671 4.1671 16.3037 Å, 90.00 90.00 120.00°
Space group R-3m (No. 166, hexagonal axes)
Symmetry-distinct sites (fractional):
Th 0.0000 0.0000 0.0000 (multiplicity 3)
As 0.0000 0.0000 0.2277 (multiplicity 6)
Ir 0.0000 0.0000 0.5000 (multiplicity 3)

The calculation puts the calculated formation energy at -0.739 eV per atom.



## Cs2VCr (PBE)

Data for crystalline Cs2VCr at its relaxed geometry.

Cell: 8.3802 8.3802 8.3802 Å, 90.00 90.00 90.00°
Space group Fm-3m (No. 225)
Symmetry-distinct sites (fractional):
Cs 0.2500 0.2500 0.2500 (multiplicity 8)
V 0.0000 0.0000 0.0000 (multiplicity 4)
Cr 0.0000 0.0000 0.5000 (multiplicity 4)

The calculation puts the polymorph energy (0 for the lowest one) at 0.058 eV per atom. The calculation puts the calculated formation energy at 1.989 eV per atom.



## OsAu3Br (PBE)

Data for crystalline OsAu3Br at its relaxed geometry.

Cell: 5.0056 5.0056 5.0056 Å, 90.00 90.00 90.00°
Space group Pm-3m (No. 221)
Symmetry-distinct sites (fractional):
Os 0.0000 0.0000 0.0000 (multiplicity 1)
Au 0.0000 0.5000 0.5000 (multiplicity 3)
Br 0.5000 0.5000 0.5000 (multiplicity 1)

For the uncorrected formation energy, the calculation gives 191 kJ per mole of atoms. The calculation puts the polymorph energy (0 for the lowest one) at 0.732 eV per atom.



## TiNbP2 (PBE)

Data for crystalline TiNbP2 at its relaxed geometry.

Cell: 3.4940 3.4940 18.0890 Å, 90.00 90.00 120.00°
Space group R3m (No. 160, hexagonal axes)
Symmetry-distinct sites (fractional):
Ti 0.0000 0.0000 0.0000 (multiplicity 3)
Nb 0.0000 0.0000 0.8240 (multiplicity 3)
P 0.0000 0.0000 0.4097 (multiplicity 3)
P 0.0000 0.0000 0.5805 (multiplicity 3)

The calculation puts the polymorph energy (0 for the lowest one) at 0.011 eV per atom. The calculation puts the calculated formation energy at -0.995 eV per atom.



## PaCrPbN4 (PBE)

Data for crystalline PaCrPbN4 at its relaxed geometry.

Cell: 5.8965 5.4767 7.2551 Å, 90.00 106.69 90.00°
Space group P2_1/m (No. 11)
Symmetry-distinct sites (fractional):
Pa 0.2281 0.2500 0.0642 (multiplicity 2)
Cr 0.2338 0.7500 0.8281 (multiplicity 2)
Pb 0.3379 0.2500 0.6033 (multiplicity 2)
N 0.0363 0.5067 0.8173 (multiplicity 4)
N 0.4325 0.7500 0.6823 (multiplicity 2)
N 0.4377 0.7500 0.0584 (multiplicity 2)

For the uncorrected formation energy, the calculation gives -50 kJ per mole of atoms.



## InGaCu4 (PBE)

Data for crystalline InGaCu4 at its relaxed geometry.

Cell: 8.5417 4.2256 4.9352 Å, 90.00 93.86 90.00°
Space group C2/m (No. 12)
Symmetry-distinct sites (fractional):
In 0.0000 0.0000 0.0000 (multiplicity 2)
Ga 0.0000 0.5000 0.5000 (multiplicity 2)
Cu 0.1885 0.0000 0.5818 (multiplicity 4)
Cu 0.1903 0.5000 0.8956 (multiplicity 4)

The calculation puts the calculated formation energy at 0.002 eV per atom.



## Ca2PrBi (PBE)

Data for crystalline Ca2PrBi at its relaxed geometry.

Cell: 4.9943 4.9943 5.3087 Å, 90.00 90.00 90.00°
Space group P4/mmm (No. 123)
Symmetry-distinct sites (fractional):
Ca 0.0000 0.5000 0.0000 (multiplicity 2)
Pr 0.0000 0.0000 0.5000 (multiplicity 1)
Bi 0.5000 0.5000 0.5000 (multiplicity 1)

The calculation puts the polymorph energy (0 for the lowest one) at 0.000 eV per atom. The calculation puts the calculated formation energy at -0.389 eV per atom.



## FePAuS2 (PBE)

Data for crystalline FePAuS2 at its relaxed geometry.

Cell: 4.4701 4.4701 4.4207 Å, 90.00 90.00 90.00°
Space group P4/mmm (No. 123)
Symmetry-distinct sites (fractional):
Fe 0.0000 0.0000 0.0000 (multiplicity 1)
P 0.0000 0.0000 0.5000 (multiplicity 1)
Au 0.5000 0.5000 0.5000 (multiplicity 1)
S 0.0000 0.5000 0.0000 (multiplicity 2)

For the uncorrected formation energy, the calculation gives 57 kJ per mole of atoms. The calculation puts the polymorph energy (0 for the lowest one) at 0.000 eV per atom.



## BaYSb2I (PBE)

Data for crystalline BaYSb2I at its relaxed geometry.

Cell: 6.1683 6.1683 6.1979 Å, 90.00 90.00 90.00°
Space group P4/mmm (No. 123)
Symmetry-distinct sites (fractional):
Ba 0.0000 0.0000 0.0000 (multiplicity 1)
Y 0.5000 0.5000 0.5000 (multiplicity 1)
Sb 0.0000 0.5000 0.0000 (multiplicity 2)
I 0.0000 0.0000 0.5000 (multiplicity 1)

For the uncorrected formation energy, the calculation gives 33 kJ per mole of atoms. The calculation puts the polymorph energy (0 for the lowest one) at 1.095 eV per atom.



## NaLi2Ag (PBE)

Data for crystalline NaLi2Ag at its relaxed geometry.

Cell: 3.0880 3.0880 31.1802 Å, 90.00 90.00 120.00°
Space group R-3m (No. 166, hexagonal axes)
Symmetry-distinct sites (fractional):
Na 0.0000 0.0000 0.0000 (multiplicity 3)
Li 0.0000 0.0000 0.0984 (multiplicity 6)
Ag 0.0000 0.0000 0.5000 (multiplicity 3)

The calculation puts the polymorph energy (0 for the lowest one) at 0.114 eV per atom. The calculation puts the calculated formation energy at 0.011 eV per atom.